(1)
DFT (PBE) results for an optimized crystal structure of PrSmHo3Er.

a b c (Å): 19.614 5.639 7.092
angles (deg): 90.00 90.44 90.00
Space group C2/m (No. 12)
Unique sites:
Pr1 0.146 0.000 0.029
Sm1 0.052 0.500 0.267
Ho1 0.023 0.000 0.736
Ho2 0.165 0.500 0.730
Ho3 0.220 0.500 0.246
Er1 0.150 0.000 0.456

- uncorrected energy (eV per atom) = -4.435
- size of the total moment (μB/f.u.) = 0.00
- crystal system = monoclinic
- formation energy from the elements (meV per atom) = 198

(2)
DFT (PBE) results for an optimized crystal structure of HfSiPbO5.

a b c (Å): 7.018 9.260 7.589
angles (deg): 90.00 114.82 90.00
Space group C2/c (No. 15)
Unique sites:
Hf1 0.000 0.000 0.000
Si1 0.000 0.317 0.250
Pb1 0.000 0.326 0.750
O1 0.000 0.073 0.750
O2 0.089 0.212 0.121
O3 0.188 0.424 0.398

- uncorrected energy (eV per atom) = -8.164
- size of the total moment (μB/f.u.) = 0.00
- E_form (uncorrected) (meV per atom) = -2679
- crystal system = monoclinic

(3)
DFT (PBE) results for an optimized crystal structure of ScSb3O.

a b c (Å): 4.765 4.765 4.765
angles (deg): 90.00 90.00 90.00
Space group Pm-3m (No. 221)
Unique sites:
Sc1 0.000 0.000 0.000
Sb1 0.000 0.500 0.500
O1 0.500 0.500 0.500

- uncorrected energy (eV per atom) = -5.151
- size of the total moment (μB/f.u.) = 0.00
- E_form (uncorrected) (meV per atom) = -419
- crystal system = cubic
- energy relative to the lowest polymorph listed for this composition (eV per formula unit) = 0.00

(4)
DFT (PBE) results for an optimized crystal structure of LaCd3Pd.

a b c (Å): 5.603 5.968 7.574
angles (deg): 90.00 111.07 90.00
Space group P2_1/m (No. 11)
Unique sites:
La1 0.216 0.250 0.130
Cd1 0.211 0.008 0.692
Cd2 0.332 0.750 0.391
Pd1 0.353 0.750 0.028

- uncorrected energy (eV per atom) = -3.023
- size of the total moment (μB/f.u.) = 0.00
- crystal system = monoclinic
- energy relative to the lowest polymorph listed for this composition (eV per formula unit) = 0.04
- formation energy from the elements (meV per atom) = -450

(5)
DFT (PBE) results for an optimized crystal structure of Pm3Si6PtRh2.

a b c (Å): 5.3897 5.3897 9.2056
angles (deg): 90.00 90.00 120.00
Space group P-3m1 (No. 164)
Unique sites:
Pm1 0.0000 0.0000 0.0000
Pm2 0.3333 0.6667 0.5830
Si1 0.1687 0.3374 0.2767
Pt1 0.0000 0.0000 0.5000
Rh1 0.3333 0.6667 0.0771

- uncorrected energy (eV per atom) = -6.133
- size of the total moment (μB/f.u.) = 0.00
- E_form (uncorrected) (meV per atom) = -505
- crystal system = trigonal

(6)
DFT (PBE) results for an optimized crystal structure of Co2AsAuSe.

a b c (Å): 4.443 4.443 4.944
angles (deg): 90.00 90.00 90.00
Space group P4/mmm (No. 123)
Unique sites:
Co1 0.000 0.500 0.000
As1 0.000 0.000 0.000
Au1 0.000 0.000 0.500
Se1 0.500 0.500 0.500

- uncorrected energy (eV per atom) = -4.385
- size of the total moment (μB/f.u.) = 3.06
- E_form (uncorrected) (meV per atom) = 740
- crystal system = tetragonal

(7)
DFT (PBE) results for an optimized crystal structure of ReAs2Cl.

a b c (Å): 4.211 4.211 7.465
angles (deg): 90.00 90.00 90.00
Space group I4/mmm (No. 139)
Unique sites:
Re1 0.000 0.000 0.000
As1 0.000 0.500 0.250
Cl1 0.000 0.000 0.500

- uncorrected energy (eV per atom) = -5.161
- size of the total moment (μB/f.u.) = 0.00
- E_form (uncorrected) (meV per atom) = 738
- crystal system = tetragonal
- energy relative to the lowest polymorph listed for this composition (eV per formula unit) = 2.73

(8)
DFT (PBE) results for an optimized crystal structure of Cs2UInF6.

a b c (Å): 6.551 6.612 7.396
angles (deg): 110.58 112.51 90.86
Space group P-1 (No. 2)
Unique sites:
Cs1 0.247 0.229 0.484
U1 0.500 0.000 0.000
In1 0.000 0.500 0.000
F1 0.183 0.107 0.838
F2 0.353 0.844 0.157
F3 0.408 0.704 0.711

- uncorrected energy (eV per atom) = -5.508
- size of the total moment (μB/f.u.) = 3.00
- E_form (uncorrected) (meV per atom) = -2812
- crystal system = triclinic

(9)
DFT (PBE) results for an optimized crystal structure of CrFeRh2.

a b c (Å): 2.659 2.659 7.333
angles (deg): 90.00 90.00 90.00
Space group P4mm (No. 99)
Unique sites:
Cr1 0.000 0.000 0.000
Fe1 0.500 0.500 0.238
Rh1 0.000 0.000 0.480
Rh2 0.500 0.500 0.764

- uncorrected energy (eV per atom) = -8.163
- size of the total moment (μB/f.u.) = 1.72
- crystal system = tetragonal
- formation energy from the elements (meV per atom) = 34

(10)
DFT (PBE) results for an optimized crystal structure of Dy2PaGa2Ru5.

a b c (Å): 10.022 10.022 3.527
angles (deg): 90.00 90.00 90.00
Space group P4/mbm (No. 127)
Unique sites:
Dy1 0.169 0.331 0.000
Pa1 0.000 0.000 0.000
Ga1 0.127 0.627 0.000
Ru1 0.000 0.500 0.500
Ru2 0.070 0.798 0.500

- uncorrected energy (eV per atom) = -7.621
- size of the total moment (μB/f.u.) = 0.00
- crystal system = tetragonal
- formation energy from the elements (meV per atom) = -507

(11)
DFT (PBE) results for an optimized crystal structure of YZnHgPb.

a b c (Å): 7.348 7.348 7.348
angles (deg): 90.00 90.00 90.00
Space group F-43m (No. 216)
Unique sites:
Y1 0.000 0.000 0.000
Zn1 0.250 0.250 0.250
Hg1 0.250 0.250 0.750
Pb1 0.000 0.000 0.500

- uncorrected energy (eV per atom) = -3.103
- size of the total moment (μB/f.u.) = 0.00
- crystal system = cubic
- formation energy from the elements (meV per atom) = -166

(12)
DFT (PBE) results for an optimized crystal structure of SrPmMg2Hg4.

a b c (Å): 5.1928 5.1928 25.9636
angles (deg): 90.00 90.00 120.00
Space group R-3m (No. 166, hexagonal axes)
Unique sites:
Sr1 0.0000 0.0000 0.0000
Pm1 0.0000 0.0000 0.5000
Mg1 0.0000 0.0000 0.2475
Hg1 0.0000 0.0000 0.1261
Hg2 0.0000 0.0000 0.3786

- uncorrected energy (eV per atom) = -1.784
- size of the total moment (μB/f.u.) = 0.00
- crystal system = trigonal
- formation energy from the elements (meV per atom) = -431